1.
# AlCoP PBE-GGA optimized geometry
# Formation energy from the elements = -0.8 eV per formula unit
data_AlCoP
_chemical_formula_sum 'Al1 Co1 P1'
_cell_length_a 2.9033
_cell_length_b 2.9033
_cell_length_c 5.4000
_cell_angle_alpha 90.00
_cell_angle_beta 90.00
_cell_angle_gamma 120.00
_symmetry_space_group_name_H-M 'P 3 m 1'
_symmetry_Int_Tables_number 156
loop_
_symmetry_equiv_pos_as_xyz
'x,y,z'
'-y,x-y,z'
'-x+y,-x,z'
'-y,-x,z'
'-x+y,y,z'
'x,x-y,z'
loop_
_atom_site_label
_atom_site_type_symbol
_atom_site_fract_x
_atom_site_fract_y
_atom_site_fract_z
Al1 Al 0.0000 0.0000 0.0000
Co1 Co 0.6667 0.3333 0.3451
P1 P 0.3333 0.6667 0.6140

2.
# Ce2CdPt4 PBE-GGA optimized geometry
# Formation energy from the elements = -2.7 eV per formula unit
data_Ce2CdPt4
_chemical_formula_sum 'Ce8 Cd4 Pt16'
_cell_length_a 5.5807
_cell_length_b 8.7533
_cell_length_c 14.6614
_cell_angle_alpha 90.00
_cell_angle_beta 90.00
_cell_angle_gamma 90.00
_symmetry_space_group_name_H-M 'F m m m'
_symmetry_Int_Tables_number 69
_symmetry_space_group_name_Hall '-F 2 2'
loop_
_atom_site_label
_atom_site_type_symbol
_atom_site_fract_x
_atom_site_fract_y
_atom_site_fract_z
Ce1 Ce 0.0000 0.0000 0.1263
Cd1 Cd 0.0000 0.0000 0.5000
Pt1 Pt 0.0000 0.0000 0.3068
Pt2 Pt 0.2500 0.2500 0.0000

3.
# RbScAuBr6 PBE-GGA optimized geometry
# Energy relative to the elements, uncorrected = -977.4 kJ/mol of formula units
data_RbScAuBr6
_chemical_formula_sum 'Rb1 Sc1 Au1 Br6'
_cell_length_a 7.1286
_cell_length_b 7.1286
_cell_length_c 7.5860
_cell_angle_alpha 90.00
_cell_angle_beta 90.00
_cell_angle_gamma 120.00
_symmetry_space_group_name_H-M 'P 3 1 2'
_symmetry_Int_Tables_number 149
loop_
_symmetry_equiv_pos_as_xyz
'x,y,z'
'-y,x-y,z'
'-x+y,-x,z'
'-y,-x,-z'
'-x+y,y,-z'
'x,x-y,-z'
loop_
_atom_site_label
_atom_site_type_symbol
_atom_site_fract_x
_atom_site_fract_y
_atom_site_fract_z
Rb1 Rb 0.0000 0.0000 0.0000
Sc1 Sc 0.3333 0.6667 0.5000
Au1 Au 0.6667 0.3333 0.5000
Br1 Br 0.0120 0.3868 0.7078

| no. | VASP energy (eV/atom) |
| --- | --- |
| 1 | -5.68 |
| 2 | -5.66 |
| 3 | -3.42 |